{"formula": "TlCd2Ge2", "functional": "PBE", "state": "relaxed", "lattice_angstrom": [[-2.173, -1.756, -3.183], [2.652, -3.302, 0.011], [-3.758, -5.724, 2.905]], "species": ["Tl", "Cd", "Cd", "Ge", "Ge"], "fractional_positions": [[0.000, 0.000, 0.000], [0.394, 0.394, 0.211], [0.606, 0.606, 0.789], [0.250, 0.750, 0.500], [0.750, 0.250, 0.500]], "dos_ef_per_ev_atom": 0.3361, "crystal_system": "tetragonal", "space_group": "No. 139", "e_tot_ev_per_atom": -2.519, "volume_a3_per_atom": 24.43, "ef_mev_per_atom": 167}